Entry 1:
The following is a PBE calculation of an optimized crystal structure of ScCuP2, from the Alexandria database.

Unit cell a=3.744 b=3.744 c=6.053 alpha=90.00 beta=90.00 gamma=120.00
Atoms (fractional coordinates):
P 0.667 0.333 0.275
Cu 0.333 0.667 0.393
P 0.333 0.667 0.761
Sc 0.000 0.000 0.014

Properties
The energy of formation from the pure elements comes out at -0.440 eV/atom.



Entry 2:
The following is a PBE calculation of an optimized crystal structure of Y4Ho3Co4, from the Alexandria database.

Unit cell a=3.590 b=8.822 c=9.138 alpha=118.86 beta=101.33 gamma=90.00
Atoms (fractional coordinates):
Co 0.745 0.245 0.490
Co 0.255 0.755 0.510
Y 0.335 0.150 0.669
Y 0.665 0.481 0.331
Y 0.665 0.850 0.331
Co 0.500 0.213 0.000
Ho 0.000 0.500 0.000
Ho 0.897 0.897 0.794
Co 0.500 0.787 0.000
Y 0.335 0.519 0.669
Ho 0.103 0.103 0.206

Properties
The energy of formation from the pure elements comes out at -0.073 eV/atom.



Entry 3:
The following is a PBE calculation of an optimized crystal structure of CaNd3Sb4, from the Alexandria database.

Unit cell a=6.401 b=6.401 c=6.401 alpha=90.00 beta=90.00 gamma=90.00
Atoms (fractional coordinates):
Nd 0.000 0.500 0.500
Ca 0.000 0.000 0.000
Nd 0.500 0.500 0.000
Sb 0.000 0.500 0.000
Sb 0.500 0.000 0.000
Sb 0.500 0.500 0.500
Sb 0.000 0.000 0.500
Nd 0.500 0.000 0.500

Properties
Its uncorrected formation energy is -1.06 eV/atom.



Entry 4:
The following is a PBE calculation of an optimized crystal structure of NaPt, from the Alexandria database.

Unit cell a=2.809 b=2.809 c=10.351 alpha=90.00 beta=90.00 gamma=120.00
Atoms (fractional coordinates):
Pt 0.667 0.333 0.818
Na 0.667 0.333 0.553
Pt 0.333 0.667 0.318
Na 0.333 0.667 0.053

Properties
The energy of formation from the pure elements comes out at -0.079 eV/atom.



Entry 5:
The following is a PBE calculation of an optimized crystal structure of TaZn3Ru, from the Alexandria database.

Unit cell a=4.906 b=4.906 c=4.906 alpha=90.00 beta=90.00 gamma=90.00
Atoms (fractional coordinates):
Ta 0.000 0.000 0.000
Zn 0.000 0.000 0.500
Zn 0.000 0.500 0.000
Zn 0.500 0.000 0.000
Ru 0.500 0.500 0.500

Properties
The energy of formation from the pure elements comes out at 1.736 eV/atom. For the distance to the lowest polymorph of the same formula, the calculation gives 627 meV/atom.



Entry 6:
The following is a PBE calculation of an optimized crystal structure of HoPa2As4, from the Alexandria database.

Unit cell a=4.055 b=7.070 c=13.293 alpha=90.00 beta=90.00 gamma=106.67
Atoms (fractional coordinates):
Pa 0.131 0.263 0.433
As 0.231 0.461 0.874
As 0.231 0.461 0.626
As 0.966 0.932 0.750
As 0.769 0.539 0.374
As 0.500 0.000 0.500
As 0.769 0.539 0.126
Pa 0.131 0.263 0.067
Ho 0.384 0.767 0.250
Pa 0.869 0.737 0.933
Pa 0.869 0.737 0.567
As 0.500 0.000 0.000
As 0.034 0.068 0.250
Ho 0.616 0.233 0.750

Properties
The energy of formation from the pure elements comes out at -0.919 eV/atom.



Entry 7:
The following is a PBE calculation of an optimized crystal structure of DyTmZnRh, from the Alexandria database.

Unit cell a=4.899 b=4.899 c=4.899 alpha=60.00 beta=60.00 gamma=60.00
Atoms (fractional coordinates):
Zn 0.000 0.000 0.000
Dy 0.750 0.750 0.750
Rh 0.500 0.500 0.500
Tm 0.250 0.250 0.250

Properties
The energy of formation from the pure elements comes out at -0.629 eV/atom. For the distance to the lowest polymorph of the same formula, the calculation gives 11 meV/atom.



Entry 8:
The following is a PBE calculation of an optimized crystal structure of LiZr2Nb, from the Alexandria database.

Unit cell a=4.800 b=4.800 c=4.800 alpha=60.00 beta=60.00 gamma=60.00
Atoms (fractional coordinates):
Li 0.500 0.500 0.500
Nb 0.000 0.000 0.000
Zr 0.250 0.250 0.250
Zr 0.750 0.750 0.750

Properties
The energy of formation from the pure elements comes out at 0.152 eV/atom. For the distance to the lowest polymorph of the same formula, the calculation gives 6 meV/atom.



Entry 9:
The following is a PBE calculation of an optimized crystal structure of NaBeCo2Ru, from the Alexandria database.

Unit cell a=4.384 b=4.997 c=4.384 alpha=90.00 beta=90.00 gamma=90.00
Atoms (fractional coordinates):
Na 0.000 0.500 0.000
Co 0.500 0.000 0.000
Be 0.500 0.500 0.500
Ru 0.000 0.000 0.000
Co 0.000 0.000 0.500

Properties
The energy of formation from the pure elements comes out at 1.703 eV/atom.